The following is a SCAN calculation of a PBEsol-optimized structure of FeHg2Ru, from Alexandria via LeMat-Bulk.

```
data_FeHg2Ru
_cell_length_a 4.021
_cell_length_b 4.021
_cell_length_c 8.025
_cell_angle_alpha 90.00
_cell_angle_beta 90.00
_cell_angle_gamma 90.00
_symmetry_space_group_name_H-M 'I 4/m m m'
_symmetry_Int_Tables_number 139
_symmetry_space_group_name_Hall '-I 4 2'
loop_
_atom_site_label
_atom_site_fract_x
_atom_site_fract_y
_atom_site_fract_z
Fe1 0.000 0.000 0.000
Hg1 0.000 0.500 0.250
Ru1 0.000 0.000 0.500
```

The energy of formation is 0.442 eV per atom. The value obtained for the total energy is -375.04 eV for the cell shown. As for the excess energy over the best structure of this formula in the dataset: 0.0 meV per atom.